The following is a PBE-GGA calculation of a geometry-optimized CrHgOs2 structure, from Alexandria via LeMat-Bulk.

## Properties
Its magnetization is 0.48 μB per atom. The raw total energy comes out at -29.9 eV per cell. As for the formation energy from the elements: 0.632 eV per atom.

a b c (Å): 4.7973 4.7973 4.8845
angles (deg): 79.76 79.76 34.58
Fractional positions:
Cr  0.5108  0.5108  0.4733
Hg  0.7517  0.7517  0.7386
Os  0.9894  0.9894  0.0517
Os  0.2481  0.2481  0.2364